(1)
A relaxed structure of Cs2PmBr4. Source: Alexandria, functional PBE-GGA.

Results
* Fermi-level density of states: 3.21 states/eV per cell
* offset from the most stable computed form: 0.000 eV/atom
* energy relative to the elements, uncorrected: -1.68 eV per atom

a b c (Å): 5.789 5.789 10.009
angles (deg): 73.19 73.19 90.00
Each line ends with the local moment (μB).
Positions (direct):
1 Cs 0.640 0.640 0.720  0.00
2 Cs 0.360 0.360 0.280  0.00
3 Br 0.838 0.838 0.325  0.01
4 Br 0.162 0.162 0.675  0.01
5 Br 0.000 0.500 0.000  0.00
6 Br 0.500 0.000 0.000  0.00
7 Pm 0.000 0.000 0.000  0.28



(2)
A relaxed structure of Al6CdPd12. Source: Alexandria, functional PBE-GGA.

Results
* Fermi-level density of states: 5.04 states/eV per cell
* formation energy: -0.49 eV/atom

a b c (Å): 7.118 7.118 7.118
angles (deg): 100.83 100.83 100.83
Positions (direct):
1 Al 0.728 0.847 0.470
2 Al 0.530 0.272 0.153
3 Al 0.153 0.530 0.272
4 Al 0.272 0.153 0.530
5 Al 0.470 0.728 0.847
6 Al 0.847 0.470 0.728
7 Cd 0.000 0.000 0.000
8 Pd 0.821 0.518 0.393
9 Pd 0.393 0.821 0.518
10 Pd 0.518 0.393 0.821
11 Pd 0.179 0.482 0.607
12 Pd 0.607 0.179 0.482
13 Pd 0.482 0.607 0.179
14 Pd 0.023 0.861 0.328
15 Pd 0.139 0.672 0.977
16 Pd 0.672 0.977 0.139
17 Pd 0.977 0.139 0.672
18 Pd 0.861 0.328 0.023
19 Pd 0.328 0.023 0.861



(3)
A relaxed structure of Pm12CdGe7. Source: Alexandria, functional PBE-GGA.

Results
* Fermi-level density of states: 16.79 states/eV per cell
* formation energy: -0.43 eV/atom

a b c (Å): 9.138 9.138 9.138
angles (deg): 109.57 109.57 109.57
Positions (direct):
1 Pm 0.853 0.332 0.711
2 Pm 0.668 0.289 0.147
3 Pm 0.392 0.090 0.310
4 Pm 0.910 0.690 0.608
5 Pm 0.289 0.147 0.668
6 Pm 0.690 0.608 0.910
7 Pm 0.310 0.392 0.090
8 Pm 0.711 0.853 0.332
9 Pm 0.090 0.310 0.392
10 Pm 0.608 0.910 0.690
11 Pm 0.332 0.711 0.853
12 Pm 0.147 0.668 0.289
13 Cd 0.000 0.000 0.000
14 Ge 0.068 0.714 0.973
15 Ge 0.286 0.027 0.932
16 Ge 0.027 0.932 0.286
17 Ge 0.500 0.500 0.500
18 Ge 0.973 0.068 0.714
19 Ge 0.714 0.973 0.068
20 Ge 0.932 0.286 0.027



(4)
A relaxed structure of BaSrP2O6. Source: Alexandria, functional PBE-GGA.

Results
* energy relative to the elements, uncorrected: -2.41 eV per atom

a b c (Å): 5.717 5.717 7.142
angles (deg): 66.41 66.41 60.00
Each line ends with the local moment (μB).
Positions (direct):
1 Ba 0.000 0.000 0.000  0.02
2 Sr 0.500 0.500 0.500  0.00
3 P 0.772 0.772 0.683  0.22
4 P 0.228 0.228 0.317  0.22
5 O 0.029 0.511 0.749  0.12
6 O 0.710 0.029 0.749  0.12
7 O 0.489 0.290 0.251  0.12
8 O 0.971 0.489 0.251  0.12
9 O 0.290 0.971 0.251  0.12
10 O 0.511 0.710 0.749  0.12



- Number 3 is which compound?
  Pm12CdGe7